## NiOs2 (PBE)

Data for a relaxed structure of NiOs2.

Cell and atoms, written as POSCAR:
```
NiOs2
1.0
4.786 -1.381 0.000
4.786 1.381 0.000
-1.583 0.000 6.048
Ni Os
2 4
Cartesian
-0.231 0.000 1.852
8.220 0.000 4.195
2.360 0.000 2.211
1.910 0.000 5.827
6.078 0.000 0.221
5.628 0.000 3.837
```

- energy relative to the elements (eV/atom) = 0.108
- energy (eV/cell) = -55.8
- space-group type = C2/m

=====

## Pm4PrDy6 (PBE)

Data for a relaxed structure of Pm4PrDy6.

Cell and atoms, written as POSCAR:
```
Pm4PrDy6
1.0
-3.337 3.337 8.527
3.337 -3.337 8.527
3.337 3.337 -8.527
Pm Pr Dy
4 1 6
Cartesian
2.070 2.070 -2.998
1.267 -1.267 11.525
1.267 1.267 5.530
-1.267 1.267 11.525
0.000 0.000 8.527
3.337 0.000 0.000
2.149 -2.149 6.379
1.188 1.188 2.148
0.000 3.337 0.000
-2.149 2.149 6.379
2.149 2.149 10.675
```

- energy relative to the elements (eV/atom) = 0.311
- energy (eV/cell) = -48.0
- space-group type = I-42m